Entry 1:
First-principles (GGA-PBE) data for an optimized crystal structure of MgZnCd, as listed in the Alexandria database.

Lattice parameters (Å, degrees): 3.2192 3.2192 6.7836 90.00 90.00 120.00
Atoms (fractional coordinates):
Mg  0.0000  0.0000  0.0000
Zn  0.3333  0.6667  0.3140
Cd  0.6667  0.3333  0.6399

Values from the calculation:
Its magnetic moment is 0.0 μB/f.u. As for the calculated total energy: -1.252 eV/atom. The energy above the most stable polymorph in this dataset is 0.054 eV per atom. The volume comes out at 61 Å³ per cell.


Entry 2:
First-principles (GGA-PBE) data for an optimized crystal structure of Pm3Zn3Au8, as listed in the Alexandria database.

Lattice parameters (Å, degrees): 8.4369 8.4369 9.0502 121.56 121.56 32.33
Atoms (fractional coordinates):
Pm  0.0000  0.0000  0.0000
Pm  0.2934  0.2934  0.2799
Pm  0.7066  0.7066  0.7201
Zn  0.0000  0.0000  0.5000
Zn  0.3310  0.3310  0.6703
Zn  0.6690  0.6690  0.3297
Au  0.1312  0.1312  0.8415
Au  0.1374  0.1374  0.4247
Au  0.3470  0.3470  0.9651
Au  0.4952  0.4952  0.6686
Au  0.5048  0.5048  0.3314
Au  0.6530  0.6530  0.0349
Au  0.8626  0.8626  0.5753
Au  0.8688  0.8688  0.1585

Values from the calculation:
Its magnetic moment is 0.0 μB/f.u. As for the calculated total energy: -3.764 eV/atom. The energy above the most stable polymorph in this dataset is 0.000 eV per atom. The volume comes out at 289 Å³ per cell.


Entry 3:
First-principles (GGA-PBE) data for an optimized crystal structure of Al2Cu2W, as listed in the Alexandria database.

Lattice parameters (Å, degrees): 7.0818 7.0818 2.7472 90.00 90.00 90.00
Atoms (fractional coordinates):
Al  0.1756  0.3244  0.0000
Al  0.3244  0.8244  0.0000
Al  0.6756  0.1756  0.0000
Al  0.8244  0.6756  0.0000
Cu  0.1219  0.6219  0.5000
Cu  0.3781  0.1219  0.5000
Cu  0.6219  0.8781  0.5000
Cu  0.8781  0.3781  0.5000
W  0.0000  0.0000  0.5000
W  0.5000  0.5000  0.5000

Values from the calculation:
Its magnetic moment is 0.0 μB/f.u. As for the calculated total energy: -5.743 eV/atom. The energy above the most stable polymorph in this dataset is 0.000 eV per atom. The volume comes out at 138 Å³ per cell.


Entry 4:
First-principles (GGA-PBE) data for an optimized crystal structure of Li2AcNdSb2, as listed in the Alexandria database.

Lattice parameters (Å, degrees): 4.7728 4.7728 8.0256 90.00 90.00 120.00
Atoms (fractional coordinates):
Li  0.3333  0.6667  0.2196
Li  0.6667  0.3333  0.7804
Ac  0.0000  0.0000  0.5000
Nd  0.0000  0.0000  0.0000
Sb  0.3333  0.6667  0.7653
Sb  0.6667  0.3333  0.2347

Values from the calculation:
Its magnetic moment is 0.0 μB/f.u. As for the calculated total energy: -4.365 eV/atom. Its formation energy without anion corrections is -0.87 eV/atom. The volume comes out at 158 Å³ per cell.